(one)
The following is a DFT calculation (PBE) of a geometry-optimized RbCu3C structure.

Cell: 4.227 4.227 4.227 Å, 90.00 90.00 90.00°
Fractional coordinates of all 5 atoms:
Rb 0.500 0.500 0.500
Cu 0.000 0.500 0.000
C 0.000 0.000 0.000
Cu 0.000 0.000 0.500
Cu 0.500 0.000 0.000

* space group: Pm-3m (221)



(two)
The following is a DFT calculation (PBE) of a geometry-optimized RbCu3C structure.

Cell: 5.553 5.553 5.553 Å, 90.00 90.00 90.00°
Fractional coordinates of all 5 atoms:
C 0.500 0.500 0.500
Cu 0.000 0.000 0.500
Rb 0.000 0.000 0.000
Cu 0.000 0.500 0.000
Cu 0.500 0.000 0.000

* space group: Pm-3m (221)



The computed energies, referenced to the most stable structure and given in meV/atom, are (one) 0; (two) 2325.



(one)
The following is a DFT calculation (PBE) of a geometry-optimized RbCuC3 structure.

Cell: 4.147 4.147 4.147 Å, 90.00 90.00 90.00°
Fractional coordinates of all 5 atoms:
C 0.000 0.000 0.500
Cu 0.000 0.000 0.000
C 0.500 0.000 0.000
C 0.000 0.500 0.000
Rb 0.500 0.500 0.500

* space group: Pm-3m (221)



(two)
The following is a DFT calculation (PBE) of a geometry-optimized RbCuC3 structure.

Cell: 4.500 4.500 4.500 Å, 90.00 90.00 90.00°
Fractional coordinates of all 5 atoms:
C 0.500 0.000 0.000
Cu 0.500 0.500 0.500
Rb 0.000 0.000 0.000
C 0.000 0.500 0.000
C 0.000 0.000 0.500

* space group: Pm-3m (221)



The computed energies, referenced to the most stable structure and given in meV/atom, are (one) 0; (two) 1744.



(one)
The following is a DFT calculation (PBE) of a geometry-optimized CuRe2C structure.

Cell: 4.571 4.571 6.793 Å, 70.34 70.34 90.00°
Fractional coordinates of all 8 atoms:
C 0.250 0.750 0.500
Re 0.375 0.482 0.750
Re 0.518 0.125 0.250
Re 0.232 0.625 0.250
Cu 0.000 0.000 0.000
Cu 0.750 0.250 0.500
C 0.500 0.500 0.000
Re 0.875 0.768 0.750

* space group: I-42d (122)



(two)
The following is a DFT calculation (PBE) of a geometry-optimized CuRe2C structure.

Cell: 2.768 2.768 8.112 Å, 80.18 80.18 60.00°
Fractional coordinates of all 4 atoms:
C 0.500 0.500 0.500
Re 0.107 0.107 0.678
Cu 0.000 0.000 0.000
Re 0.893 0.893 0.322

* space group: R-3m (166)



The computed energies, referenced to the most stable structure and given in meV/atom, are (one) 522; (two) 0.



(one)
The following is a DFT calculation (PBE) of a geometry-optimized Cu3ReC structure.

Cell: 3.877 3.877 3.877 Å, 90.00 90.00 90.00°
Fractional coordinates of all 5 atoms:
C 0.000 0.000 0.000
Re 0.500 0.500 0.500
Cu 0.500 0.000 0.000
Cu 0.000 0.500 0.000
Cu 0.000 0.000 0.500

* space group: Pm-3m (221)



(two)
The following is a DFT calculation (PBE) of a geometry-optimized Cu3ReC structure.

Cell: 4.651 4.651 4.651 Å, 90.00 90.00 90.00°
Fractional coordinates of all 5 atoms:
Re 0.000 0.000 0.000
C 0.500 0.500 0.500
Cu 0.000 0.500 0.000
Cu 0.000 0.000 0.500
Cu 0.500 0.000 0.000

* space group: Pm-3m (221)



The computed energies, referenced to the most stable structure and given in meV/atom, are (one) 0; (two) 1844.



(one)
The following is a DFT calculation (PBE) of a geometry-optimized CuRhC2 structure.

Cell: 4.593 4.593 5.557 Å, 65.59 65.59 90.00°
Fractional coordinates of all 8 atoms:
Rh 0.000 0.000 0.000
Rh 0.750 0.250 0.500
C 0.117 0.625 0.250
C 0.375 0.367 0.750
Cu 0.250 0.750 0.500
C 0.633 0.125 0.250
C 0.875 0.883 0.750
Cu 0.500 0.500 0.000

* space group: I-42d (122)



(two)
The following is a DFT calculation (PBE) of a geometry-optimized CuRhC2 structure.

Cell: 3.768 3.768 3.768 Å, 60.00 60.00 60.00°
Fractional coordinates of all 4 atoms:
Cu 0.000 0.000 0.000
C 0.250 0.250 0.250
C 0.750 0.750 0.750
Rh 0.500 0.500 0.500

* space group: Fm-3m (225)



The computed energies, referenced to the most stable structure and given in meV/atom, are (one) 0; (two) 599.



(one)
The following is a DFT calculation (PBE) of a geometry-optimized CuRhC3 structure.

Cell: 3.975 3.975 3.975 Å, 90.00 90.00 90.00°
Fractional coordinates of all 5 atoms:
C 0.500 0.000 0.000
Rh 0.000 0.000 0.000
C 0.000 0.500 0.000
C 0.000 0.000 0.500
Cu 0.500 0.500 0.500

* space group: Pm-3m (221)



(two)
The following is a DFT calculation (PBE) of a geometry-optimized CuRhC3 structure.

Cell: 3.769 3.769 3.769 Å, 90.00 90.00 90.00°
Fractional coordinates of all 5 atoms:
C 0.000 0.500 0.000
C 0.500 0.000 0.000
Rh 0.500 0.500 0.500
C 0.000 0.000 0.500
Cu 0.000 0.000 0.000

* space group: Pm-3m (221)



The computed energies, referenced to the most stable structure and given in meV/atom, are (one) 0; (two) 173.



(one)
The following is a DFT calculation (PBE) of a geometry-optimized Sr2CuRhC structure.

Cell: 5.471 5.471 3.874 Å, 90.00 90.00 90.00°
Fractional coordinates of all 5 atoms:
Cu 0.500 0.500 0.500
C 0.000 0.000 0.000
Sr 0.000 0.500 0.000
Rh 0.000 0.000 0.500
Sr 0.500 0.000 0.000

* space group: P4/mmm (123)



(two)
The following is a DFT calculation (PBE) of a geometry-optimized Sr2CuRhC structure.

Cell: 5.777 3.896 5.777 Å, 90.00 90.00 90.00°
Fractional coordinates of all 5 atoms:
Sr 0.000 0.000 0.500
Sr 0.500 0.000 0.000
Rh 0.000 0.000 0.000
Cu 0.500 0.500 0.500
C 0.000 0.500 0.000

* space group: P4/mmm (123)



The computed energies, referenced to the most stable structure and given in meV/atom, are (one) 0; (two) 313.



(one)
The following is a DFT calculation (PBE) of a geometry-optimized CuRuC2 structure.

Cell: 3.749 3.749 3.749 Å, 60.00 60.00 60.00°
Fractional coordinates of all 4 atoms:
Ru 0.500 0.500 0.500
Cu 0.000 0.000 0.000
C 0.250 0.250 0.250
C 0.750 0.750 0.750

* space group: Fm-3m (225)



(two)
The following is a DFT calculation (PBE) of a geometry-optimized CuRuC2 structure.

Cell: 4.555 4.555 5.572 Å, 65.87 65.87 90.00°
Fractional coordinates of all 8 atoms:
C 0.375 0.360 0.750
Ru 0.000 0.000 0.000
C 0.875 0.890 0.750
C 0.110 0.625 0.250
Cu 0.500 0.500 0.000
Cu 0.250 0.750 0.500
C 0.640 0.125 0.250
Ru 0.750 0.250 0.500

* space group: I-42d (122)



The computed energies, referenced to the most stable structure and given in meV/atom, are (one) 718; (two) 0.